(1)
{"formula": "KTiBr3", "functional": "PBE", "state": "relaxed", "lattice": [[13.3697, 0.0000, 0.0000], [-6.6849, 11.5785, 0.0000], [0.0000, 0.0000, 5.8508]], "species": ["K", "K", "K", "K", "K", "K", "Ti", "Ti", "Ti", "Ti", "Ti", "Ti", "Br", "Br", "Br", "Br", "Br", "Br", "Br", "Br", "Br", "Br", "Br", "Br", "Br", "Br", "Br", "Br", "Br", "Br"], "frac_coords": [[0.0010, 0.3289, 0.0000], [0.3279, 0.9990, 0.0000], [0.3289, 0.3279, 0.5000], [0.6711, 0.6721, 0.0000], [0.6721, 0.0010, 0.5000], [0.9990, 0.6711, 0.5000], [0.0000, 0.0000, 0.2600], [0.0000, 0.0000, 0.7600], [0.3333, 0.6667, 0.2609], [0.3333, 0.6667, 0.7019], [0.6667, 0.3333, 0.2019], [0.6667, 0.3333, 0.7609], [0.0377, 0.1845, 0.5102], [0.1418, 0.5223, 0.4813], [0.1468, 0.9623, 0.5102], [0.1845, 0.1468, 0.0102], [0.1970, 0.7101, 0.9811], [0.2899, 0.4869, 0.9811], [0.3805, 0.8582, 0.4813], [0.4777, 0.6195, 0.4813], [0.4869, 0.1970, 0.4811], [0.5131, 0.8030, 0.9811], [0.5223, 0.3805, 0.9813], [0.6195, 0.1418, 0.9813], [0.7101, 0.5131, 0.4811], [0.8030, 0.2899, 0.4811], [0.8155, 0.8532, 0.5102], [0.8532, 0.0377, 0.0102], [0.8582, 0.4777, 0.9813], [0.9623, 0.8155, 0.0102]], "spacegroup": "P6_3"}

(2)
{"formula": "K3TiBr7", "functional": "PBE", "state": "relaxed", "lattice": [[4.9716, -5.3418, 0.0000], [4.9716, 5.3418, 0.0000], [-2.1014, 0.0000, 7.6444]], "species": ["K", "K", "K", "Ti", "Br", "Br", "Br", "Br", "Br", "Br", "Br"], "frac_coords": [[0.0000, 0.0000, 0.0000], [0.2795, 0.7167, 0.4525], [0.7167, 0.2795, 0.4525], [0.5159, 0.5159, 0.9591], [0.0592, 0.0592, 0.4146], [0.1952, 0.5352, 0.7866], [0.3597, 0.3597, 0.1674], [0.5058, 0.8379, 0.1398], [0.5352, 0.1952, 0.7866], [0.6674, 0.6674, 0.7387], [0.8379, 0.5058, 0.1398]], "spacegroup": "Cm"}

(3)
{"formula": "KTiBr3", "functional": "PBE", "state": "relaxed", "lattice": [[9.0865, 0.0000, 0.0000], [0.0000, 3.7506, 0.0000], [0.0000, 0.0000, 15.9157]], "species": ["K", "K", "K", "K", "Ti", "Ti", "Ti", "Ti", "Br", "Br", "Br", "Br", "Br", "Br", "Br", "Br", "Br", "Br", "Br", "Br"], "frac_coords": [[0.0559, 0.2500, 0.1701], [0.4441, 0.7500, 0.6701], [0.5559, 0.2500, 0.3299], [0.9441, 0.7500, 0.8299], [0.1117, 0.7500, 0.4579], [0.3883, 0.2500, 0.9579], [0.6117, 0.7500, 0.0421], [0.8883, 0.2500, 0.5421], [0.0473, 0.7500, 0.6148], [0.1837, 0.7500, 0.9985], [0.2441, 0.2500, 0.8034], [0.2559, 0.7500, 0.3034], [0.3163, 0.2500, 0.4985], [0.4527, 0.2500, 0.1148], [0.5473, 0.7500, 0.8852], [0.6837, 0.7500, 0.5015], [0.7441, 0.2500, 0.6966], [0.7559, 0.7500, 0.1966], [0.8163, 0.2500, 0.0015], [0.9527, 0.2500, 0.3852]], "spacegroup": "Pnma"}

(4)
{"formula": "K3Ti2Br9", "functional": "PBE", "state": "relaxed", "lattice": [[6.4261, 3.7101, 6.4261], [-6.4261, 3.7101, 6.4261], [0.0000, -7.4202, 6.4261]], "species": ["K", "K", "K", "K", "K", "K", "Ti", "Ti", "Ti", "Ti", "Br", "Br", "Br", "Br", "Br", "Br", "Br", "Br", "Br", "Br", "Br", "Br", "Br", "Br", "Br", "Br", "Br", "Br"], "frac_coords": [[0.0910, 0.7500, 0.4090], [0.2500, 0.5910, 0.9090], [0.4090, 0.0910, 0.7500], [0.5910, 0.9090, 0.2500], [0.7500, 0.4090, 0.0910], [0.9090, 0.2500, 0.5910], [0.1670, 0.1670, 0.1670], [0.3330, 0.3330, 0.3330], [0.6670, 0.6670, 0.6670], [0.8330, 0.8330, 0.8330], [0.0695, 0.9032, 0.7355], [0.0859, 0.4141, 0.2500], [0.0968, 0.2645, 0.9305], [0.2355, 0.4032, 0.5695], [0.2500, 0.0859, 0.4141], [0.2645, 0.9305, 0.0968], [0.4032, 0.5695, 0.2355], [0.4141, 0.2500, 0.0859], [0.4305, 0.7645, 0.5968], [0.5695, 0.2355, 0.4032], [0.5859, 0.7500, 0.9141], [0.5968, 0.4305, 0.7645], [0.7355, 0.0695, 0.9032], [0.7500, 0.9141, 0.5859], [0.7645, 0.5968, 0.4305], [0.9032, 0.7355, 0.0695], [0.9141, 0.5859, 0.7500], [0.9305, 0.0968, 0.2645]], "spacegroup": "R-3c"}

(5)
{"formula": "KTi2Br8", "functional": "PBE", "state": "relaxed", "lattice": [[8.0750, 0.0000, 0.0000], [-4.0375, 6.9932, 0.0000], [0.0000, 0.0000, 8.5009]], "species": ["K", "Ti", "Ti", "Br", "Br", "Br", "Br", "Br", "Br", "Br", "Br"], "frac_coords": [[0.0000, 0.0000, 0.0000], [0.3333, 0.6667, 0.1940], [0.6667, 0.3333, 0.8060], [0.1727, 0.3454, 0.2884], [0.1727, 0.8273, 0.2884], [0.3333, 0.6667, 0.9156], [0.3454, 0.1727, 0.7116], [0.6546, 0.8273, 0.2884], [0.6667, 0.3333, 0.0844], [0.8273, 0.1727, 0.7116], [0.8273, 0.6546, 0.7116]], "spacegroup": "P-3m1", "e_above_lowest_polymorph_ev_per_atom": 0.000}

(6)
{"formula": "KTiBr3", "functional": "PBE", "state": "relaxed", "lattice": [[5.7834, 0.0000, 0.0000], [0.0000, 5.7834, 0.0000], [0.0000, 0.0000, 5.7834]], "species": ["K", "Ti", "Br", "Br", "Br"], "frac_coords": [[0.0000, 0.0000, 0.0000], [0.5000, 0.5000, 0.5000], [0.0000, 0.0000, 0.5000], [0.0000, 0.5000, 0.0000], [0.5000, 0.0000, 0.0000]], "spacegroup": "Pm-3m"}

(7)
{"formula": "KTi2Br8", "functional": "PBE", "state": "relaxed", "lattice": [[7.2551, -4.8913, 0.0000], [7.2551, 4.8913, 0.0000], [-1.6248, 0.0000, 7.2831]], "species": ["K", "Ti", "Ti", "Br", "Br", "Br", "Br", "Br", "Br", "Br", "Br"], "frac_coords": [[0.0000, 0.0000, 0.0000], [0.2011, 0.2011, 0.6699], [0.7989, 0.7989, 0.3301], [0.0743, 0.6823, 0.2461], [0.1929, 0.1929, 0.3466], [0.3177, 0.9257, 0.7539], [0.3604, 0.3604, 0.8300], [0.6396, 0.6396, 0.1700], [0.6823, 0.0743, 0.2461], [0.8071, 0.8071, 0.6534], [0.9257, 0.3177, 0.7539]], "spacegroup": "C2/m", "e_above_lowest_polymorph_ev_per_atom": 0.004}

(8)
{"formula": "KTiBr3", "functional": "PBE", "state": "relaxed", "lattice": [[5.3385, 0.0000, 0.0000], [0.0000, 5.3385, 0.0000], [0.0000, 0.0000, 5.3385]], "species": ["K", "Ti", "Br", "Br", "Br"], "frac_coords": [[0.0000, 0.0000, 0.0000], [0.5000, 0.5000, 0.5000], [0.0000, 0.5000, 0.5000], [0.5000, 0.0000, 0.5000], [0.5000, 0.5000, 0.0000]], "spacegroup": "Pm-3m"}

(9)
{"formula": "K4TiBr6", "functional": "PBE", "state": "relaxed", "lattice": [[9.0164, 0.0000, 0.0000], [0.0000, 9.0164, 0.0000], [0.0000, 0.0000, 9.3678]], "species": ["K", "K", "K", "K", "K", "K", "K", "K", "Ti", "Ti", "Br", "Br", "Br", "Br", "Br", "Br", "Br", "Br", "Br", "Br", "Br", "Br"], "frac_coords": [[0.1754, 0.3246, 0.2500], [0.1754, 0.3246, 0.7500], [0.3246, 0.8246, 0.2500], [0.3246, 0.8246, 0.7500], [0.6754, 0.1754, 0.2500], [0.6754, 0.1754, 0.7500], [0.8246, 0.6754, 0.2500], [0.8246, 0.6754, 0.7500], [0.0000, 0.0000, 0.0000], [0.5000, 0.5000, 0.5000], [0.0000, 0.0000, 0.2858], [0.0000, 0.0000, 0.7142], [0.0879, 0.7063, 0.0000], [0.2063, 0.5879, 0.5000], [0.2937, 0.0879, 0.0000], [0.4121, 0.2063, 0.5000], [0.5000, 0.5000, 0.2142], [0.5000, 0.5000, 0.7858], [0.5879, 0.7937, 0.5000], [0.7063, 0.9121, 0.0000], [0.7937, 0.4121, 0.5000], [0.9121, 0.2937, 0.0000]], "spacegroup": "P4/mnc"}

(10)
{"formula": "K3TiBr8", "functional": "PBE", "state": "relaxed", "lattice": [[-3.7380, 3.7380, 7.4120], [3.7380, -3.7380, 7.4120], [3.7380, 3.7380, -7.4120]], "species": ["K", "K", "K", "Ti", "Br", "Br", "Br", "Br", "Br", "Br", "Br", "Br"], "frac_coords": [[0.0000, 0.0000, 0.0000], [0.2500, 0.7500, 0.5000], [0.7500, 0.2500, 0.5000], [0.5000, 0.5000, 0.0000], [0.1745, 0.1745, 0.5677], [0.1745, 0.6068, 0.0000], [0.3932, 0.3932, 0.5677], [0.3932, 0.8255, 0.0000], [0.6068, 0.1745, 0.0000], [0.6068, 0.6068, 0.4323], [0.8255, 0.3932, 0.0000], [0.8255, 0.8255, 0.4323]], "spacegroup": "I4/mmm"}

(11)
{"formula": "K2Ti3Br10", "functional": "PBE", "state": "relaxed", "lattice": [[12.4404, -3.7755, 0.0000], [12.4404, 3.7755, 0.0000], [-3.8412, 0.0000, 9.6725]], "species": ["K", "K", "K", "K", "Ti", "Ti", "Ti", "Ti", "Ti", "Ti", "Br", "Br", "Br", "Br", "Br", "Br", "Br", "Br", "Br", "Br", "Br", "Br", "Br", "Br", "Br", "Br", "Br", "Br", "Br", "Br"], "frac_coords": [[0.1283, 0.1283, 0.2373], [0.2348, 0.2348, 0.8200], [0.7652, 0.7652, 0.1800], [0.8717, 0.8717, 0.7627], [0.2602, 0.7398, 0.5000], [0.3220, 0.3220, 0.4737], [0.4222, 0.4222, 0.0189], [0.5778, 0.5778, 0.9811], [0.6780, 0.6780, 0.5263], [0.7398, 0.2602, 0.5000], [0.0000, 0.5000, 0.5000], [0.0170, 0.0170, 0.6787], [0.1105, 0.6062, 0.0340], [0.1360, 0.6426, 0.4612], [0.2674, 0.2674, 0.2179], [0.2684, 0.7316, 0.0000], [0.3574, 0.8640, 0.5388], [0.3708, 0.3708, 0.7470], [0.3938, 0.8895, 0.9660], [0.4802, 0.4802, 0.3027], [0.5000, 0.0000, 0.5000], [0.5198, 0.5198, 0.6973], [0.6062, 0.1105, 0.0340], [0.6292, 0.6292, 0.2530], [0.6426, 0.1360, 0.4612], [0.7316, 0.2684, 0.0000], [0.7326, 0.7326, 0.7821], [0.8640, 0.3574, 0.5388], [0.8895, 0.3938, 0.9660], [0.9830, 0.9830, 0.3213]], "spacegroup": "C2/m"}

(12)
{"formula": "KTiTl2Br6", "functional": "PBE", "state": "relaxed", "lattice": [[7.9599, 0.0000, 0.0000], [3.9797, 6.9005, 0.0000], [3.9797, 2.2988, 6.6352]], "species": ["K", "Ti", "Tl", "Tl", "Br", "Br", "Br", "Br", "Br", "Br"], "frac_coords": [[0.0000, 0.0000, 0.0000], [0.5064, 0.5063, 0.4809], [0.2097, 0.2089, 0.3720], [0.7174, 0.7173, 0.8473], [0.1936, 0.7277, 0.6992], [0.3037, 0.6252, 0.2450], [0.3796, 0.1934, 0.6993], [0.6254, 0.8256, 0.2447], [0.7283, 0.3794, 0.6989], [0.8258, 0.3043, 0.2444]], "spacegroup": "P1"}

Values of VASP energy, in order: -4.13, -3.52, -4.10, -3.86, -4.02, -2.88, -4.02, -4.04, -3.55, -3.12, -4.12, -3.53, all in eV/atom.
Values of formation energy (no corrections), in order: -1.3328, -1.4413, -1.2936, -1.4249, -1.2702, -0.0780, -1.2660, -1.2336, -1.5161, -1.0762, -1.2749, -1.1538, all in eV per atom.